# Ni2AuSeO, optimized geometry, DFT PBE with a Hubbard U
# VASP energy = -2.852 eV/atom
data_Ni2AuSeO
_cell_length_a 4.6820
_cell_length_b 3.8050
_cell_length_c 4.6820
_cell_angle_alpha 90.00
_cell_angle_beta 90.00
_cell_angle_gamma 90.00
_space_group_name_H-M_alt 'P 1'
_space_group_IT_number 1
_space_group_name_Hall 'P 1'
loop_
_atom_site_label
_atom_site_fract_x
_atom_site_fract_y
_atom_site_fract_z
Ni1 0.0000 0.0000 0.5000
Ni2 0.5000 0.0000 0.0000
Au1 0.5000 0.5000 0.5000
O1 0.0000 0.5000 0.0000
Se1 0.0000 0.0000 0.0000